Entry 1:
This record from the Alexandria database describes crystalline ScTc2PAu at its relaxed geometry. The functional is PBE-GGA.

Lattice parameters (Å, degrees): 4.9494 4.9494 5.0099 90.00 90.00 90.00
Closest atoms and distances in Å follow each position.
Positions (direct):
Sc 0.0000 0.0000 0.0000  2 Au 2.50
Tc 0.0000 0.5000 0.5000  2 Au 2.47
Tc 0.5000 0.0000 0.5000  2 Au 2.47
P 0.5000 0.5000 0.0000  4 Sc 3.50, 8 Tc 3.52
Au 0.0000 0.0000 0.5000  4 Tc 2.47, 2 Sc 2.50

Calculated values
Energy relative to the elements: 1.5541 eV/atom
Uncorrected energy: -5.60 eV per atom

---

Entry 2:
This record from the Alexandria database describes crystalline ZrNi2Se at its relaxed geometry. The functional is PBE-GGA.

Lattice parameters (Å, degrees): 4.4151 4.4151 4.4151 60.00 60.00 60.00
Closest atoms and distances in Å follow each position.
Positions (direct):
Zr 0.0000 0.0000 0.0000  4 Se 2.70, 4 Ni 2.70
Ni 0.5000 0.5000 0.5000  4 Se 2.70, 4 Ni 2.70
Ni 0.7500 0.7500 0.7500  4 Zr 2.70, 4 Ni 2.70
Se 0.2500 0.2500 0.2500  4 Zr 2.70, 4 Ni 2.70

Calculated values
Energy relative to the elements, uncorrected: -0.227 eV/atom
Uncorrected energy: -6.13 eV per atom

---

Entry 3:
This record from the Alexandria database describes crystalline Nd2DyErSe6 at its relaxed geometry. The functional is PBE-GGA.

Lattice parameters (Å, degrees): 7.7640 7.7640 7.7640 56.40 56.40 56.40
Closest atoms and distances in Å follow each position.
Positions (direct):
Nd 0.0000 0.0000 0.0000  6 Se 2.94-3.02
Nd 0.4998 0.4998 0.4998  6 Se 2.94-3.02
Dy 0.2008 0.2008 0.2008  6 Se 2.84-2.90
Er 0.7004 0.7004 0.7004  6 Se 2.82-2.88
Se 0.0832 0.8144 0.4180  1 Er 2.82, 1 Dy 2.90, 2 Nd 2.94-3.02
Se 0.3160 0.5854 0.9157  1 Dy 2.84, 1 Er 2.88, 2 Nd 2.94-3.02
Se 0.4180 0.0832 0.8144  1 Er 2.82, 1 Dy 2.90, 2 Nd 2.94-3.02
Se 0.5854 0.9157 0.3160  1 Dy 2.84, 1 Er 2.88, 2 Nd 2.94-3.02
Se 0.8144 0.4180 0.0832  1 Er 2.82, 1 Dy 2.90, 2 Nd 2.94-3.02
Se 0.9157 0.3160 0.5854  1 Dy 2.84, 1 Er 2.88, 2 Nd 2.94-3.02

Calculated values
Energy relative to the elements, uncorrected: -1.843 eV/atom
Uncorrected energy: -5.80 eV per atom

---

Entry 4:
This record from the Alexandria database describes crystalline SmSi2Tc3 at its relaxed geometry. The functional is PBE-GGA.

Lattice parameters (Å, degrees): 7.7248 7.7248 7.5597 116.67 116.67 31.25
Closest atoms and distances in Å follow each position.
Positions (direct):
Sm 0.1450 0.1450 0.0635  7 Si 3.03-3.15, 2 Tc 3.19-3.24
Sm 0.8550 0.8550 0.9365  7 Si 3.03-3.15, 2 Tc 3.19-3.24
Si 0.1904 0.1904 0.7120  4 Tc 2.42-2.55
Si 0.4778 0.4778 0.8206  4 Tc 2.46-2.54, 1 Si 2.47
Si 0.5222 0.5222 0.1794  4 Tc 2.46-2.54, 1 Si 2.47
Si 0.8096 0.8096 0.2880  4 Tc 2.42-2.55
Tc 0.0437 0.0437 0.3841  3 Si 2.42-2.52, 1 Tc 2.62
Tc 0.2986 0.2986 0.5309  3 Tc 2.45-2.68, 2 Si 2.54-2.55
Tc 0.4127 0.4127 0.3419  3 Si 2.46-2.50, 2 Tc 2.58-2.68
Tc 0.5873 0.5873 0.6581  3 Si 2.46-2.50, 2 Tc 2.58-2.68
Tc 0.7014 0.7014 0.4691  3 Tc 2.45-2.68, 2 Si 2.54-2.55
Tc 0.9563 0.9563 0.6159  3 Si 2.42-2.52, 1 Tc 2.62

Calculated values
Energy relative to the elements, uncorrected: -0.498 eV/atom
Uncorrected energy: -8.27 eV per atom
Distance to the lowest polymorph of the same formula: 0 meV per atom